No. 1
Below is a relaxed TiRePO2 crystal, with properties calculated at the PBE-GGA level.

D(E_F): 0.81 states/eV per atom
Formation energy from raw total energies: -3.910 eV per formula unit
Distance to the lowest polymorph of the same formula: 0 meV per atom
M_tot: 1.5 μB per formula unit

a b c (Å): 3.7500 3.7500 5.3791
angles (deg): 90.00 90.00 90.00
Space group P4/mmm (No. 123)
One atom of each set of equivalent atoms:
Ti1 0.0000 0.0000 0.0000 x1
Re1 0.5000 0.5000 0.5000 x1
P1 0.5000 0.5000 0.0000 x1
O1 0.0000 0.5000 0.5000 x2

=====

No. 2
Below is a relaxed YNiRh2 crystal, with properties calculated at the PBE-GGA level.

D(E_F): 1.23 states/eV per atom
Calculated formation energy: -207 meV/atom
M_tot: 0.0 μB per formula unit

a b c (Å): 3.0373 4.3374 5.1566
angles (deg): 90.00 102.95 90.00
Space group P2/m (No. 10)
One atom of each set of equivalent atoms:
Y1 0.0000 0.0000 0.0000 x1
Ni1 0.5000 0.0000 0.5000 x1
Rh1 0.3432 0.5000 0.7183 x2

=====

No. 3
Below is a relaxed MgNiPdPt crystal, with properties calculated at the PBE-GGA level.

D(E_F): 1.50 states/eV per atom
Calculated formation energy: -387 meV/atom
M_tot: 0.6 μB per formula unit

a b c (Å): 6.1515 6.1515 6.1515
angles (deg): 90.00 90.00 90.00
Space group F-43m (No. 216)
One atom of each set of equivalent atoms:
Mg1 0.0000 0.0000 0.0000 x4
Ni1 0.0000 0.0000 0.5000 x4
Pd1 0.2500 0.2500 0.2500 x4
Pt1 0.2500 0.2500 0.7500 x4

=====

No. 4
Below is a relaxed NaGdGeAu crystal, with properties calculated at the PBE-GGA level.

D(E_F): 0.71 states/eV per atom
Calculated formation energy: -488 meV/atom
M_tot: 7.0 μB per formula unit

a b c (Å): 7.0962 7.0962 7.0962
angles (deg): 90.00 90.00 90.00
Space group F-43m (No. 216)
One atom of each set of equivalent atoms:
Na1 0.0000 0.0000 0.0000 x4
Gd1 0.0000 0.0000 0.5000 x4
Ge1 0.2500 0.2500 0.2500 x4
Au1 0.2500 0.2500 0.7500 x4

=====

No. 5
Below is a relaxed UPaRu crystal, with properties calculated at the PBE-GGA level.

D(E_F): 2.26 states/eV per atom
Distance to the lowest polymorph of the same formula: 2 meV per atom
Calculated formation energy: -156 meV/atom
M_tot: 1.9 μB per formula unit

a b c (Å): 3.5570 3.5570 9.4566
angles (deg): 90.00 90.00 90.00
Space group I4mm (No. 107)
One atom of each set of equivalent atoms:
U1 0.0000 0.0000 0.0000 x2
Pa1 0.0000 0.0000 0.3260 x2
Ru1 0.0000 0.0000 0.6611 x2

=====

No. 6
Below is a relaxed TbPmTaO6 crystal, with properties calculated at the PBE-GGA level.

D(E_F): 0.57 states/eV per atom
Formation energy from raw total energies: -26.753 eV per formula unit
M_tot: 1.0 μB per formula unit

a b c (Å): 5.1185 5.1185 10.2746
angles (deg): 90.00 90.00 90.00
Space group P4_2nm (No. 102)
One atom of each set of equivalent atoms:
Tb1 0.0000 0.0000 0.0000 x2
Pm1 0.0000 0.0000 0.6627 x2
Ta1 0.0000 0.0000 0.3299 x2
O1 0.1814 0.1814 0.1830 x4
O2 0.1878 0.1878 0.4742 x4
O3 0.2214 0.2214 0.8365 x4

=====

No. 7
Below is a relaxed La2YTl crystal, with properties calculated at the PBE-GGA level.

D(E_F): 1.16 states/eV per atom
Distance to the lowest polymorph of the same formula: 99 meV per atom
Calculated formation energy: -120 meV/atom
M_tot: 0.0 μB per formula unit

a b c (Å): 3.6056 5.9513 6.0097
angles (deg): 90.00 97.41 90.00
Space group P2/m (No. 10)
One atom of each set of equivalent atoms:
La1 0.1987 0.0000 0.2703 x2
Y1 0.5000 0.5000 0.0000 x1
Tl1 0.0000 0.5000 0.5000 x1

=====

No. 8
Below is a relaxed Y4CdAg2 crystal, with properties calculated at the PBE-GGA level.

D(E_F): 0.96 states/eV per atom
Distance to the lowest polymorph of the same formula: 0 meV per atom
Calculated formation energy: -179 meV/atom
M_tot: 0.0 μB per formula unit

a b c (Å): 5.1567 5.1567 24.7348
angles (deg): 90.00 90.00 120.00
Space group R-3m (No. 166, hexagonal axes)
One atom of each set of equivalent atoms:
Y1 0.0000 0.0000 0.1179 x6
Y2 0.0000 0.0000 0.3704 x6
Cd1 0.0000 0.0000 0.5000 x3
Ag1 0.0000 0.0000 0.2461 x6

=====

No. 9
Below is a relaxed Na3Sr2Tl4 crystal, with properties calculated at the PBE-GGA level.

D(E_F): 0.48 states/eV per atom
Calculated formation energy: -189 meV/atom
M_tot: 0.0 μB per formula unit

a b c (Å): 6.6681 19.1994 9.1312
angles (deg): 90.00 90.00 90.00
Space group Cmce (No. 64)
One atom of each set of equivalent atoms:
Na1 0.0000 0.0000 0.0000 x4
Na2 0.2500 0.2312 0.2500 x8
Sr1 0.0000 0.1011 0.5931 x8
Tl1 0.0000 0.1640 0.9731 x8
Tl2 0.2500 0.0666 0.2500 x8

=====

No. 10
Below is a relaxed YUP2 crystal, with properties calculated at the PBE-GGA level.

D(E_F): 1.07 states/eV per atom
Distance to the lowest polymorph of the same formula: 0 meV per atom
Calculated formation energy: -1301 meV/atom
M_tot: 2.3 μB per formula unit

a b c (Å): 3.9505 3.9505 19.7018
angles (deg): 90.00 90.00 120.00
Space group R-3m (No. 166, hexagonal axes)
One atom of each set of equivalent atoms:
Y1 0.0000 0.0000 0.0000 x3
U1 0.0000 0.0000 0.5000 x3
P1 0.0000 0.0000 0.2481 x6

=====

No. 11
Below is a relaxed TlTcP2 crystal, with properties calculated at the PBE-GGA level.

D(E_F): 0.21 states/eV per atom
Distance to the lowest polymorph of the same formula: 24 meV per atom
Calculated formation energy: -55 meV/atom
M_tot: 0.0 μB per formula unit

a b c (Å): 8.2302 3.1232 6.5481
angles (deg): 90.00 104.42 90.00
Space group Cm (No. 8)
One atom of each set of equivalent atoms:
Tl1 0.0000 0.0000 0.0000 x2
Tc1 0.3805 0.0000 0.5806 x2
P1 0.1720 0.5000 0.6073 x2
P2 0.3142 0.5000 0.3050 x2

=====

No. 12
Below is a relaxed CaPIrO2 crystal, with properties calculated at the PBE-GGA level.

D(E_F): 0.78 states/eV per atom
Formation energy from raw total energies: -3.340 eV per formula unit
Distance to the lowest polymorph of the same formula: 0 meV per atom
M_tot: 1.9 μB per formula unit

a b c (Å): 3.9612 3.9612 4.9717
angles (deg): 90.00 90.00 90.00
Space group P4/mmm (No. 123)
One atom of each set of equivalent atoms:
Ca1 0.0000 0.0000 0.0000 x1
P1 0.5000 0.5000 0.0000 x1
Ir1 0.5000 0.5000 0.5000 x1
O1 0.0000 0.5000 0.5000 x2

=====

No. 13
Below is a relaxed CaNiBr crystal, with properties calculated at the PBE-GGA level.

D(E_F): 0.44 states/eV per atom
Formation energy from raw total energies: -0.518 eV per formula unit
M_tot: 0.0 μB per formula unit

a b c (Å): 6.5491 6.5491 6.5491
angles (deg): 90.00 90.00 90.00
Space group F-43m (No. 216)
One atom of each set of equivalent atoms:
Ca1 0.0000 0.0000 0.0000 x4
Ni1 0.2500 0.2500 0.2500 x4
Br1 0.0000 0.0000 0.5000 x4

=====

No. 14
Below is a relaxed CuAgPt2 crystal, with properties calculated at the PBE-GGA level.

D(E_F): 0.97 states/eV per atom
Distance to the lowest polymorph of the same formula: 133 meV per atom
Calculated formation energy: -2 meV/atom
M_tot: 0.0 μB per formula unit

a b c (Å): 2.7662 3.9405 5.6602
angles (deg): 90.00 90.42 90.00
Space group Pm (No. 6)
One atom of each set of equivalent atoms:
Cu1 0.0000 0.0000 0.0000 x1
Ag1 0.5021 0.5000 0.7467 x1
Pt1 0.0002 0.0000 0.4784 x1
Pt2 0.4983 0.5000 0.2316 x1

=====

No. 15
Below is a relaxed Ac2ZnIn6Pt crystal, with properties calculated at the PBE-GGA level.

D(E_F): 0.55 states/eV per atom
Calculated formation energy: -323 meV/atom
M_tot: 0.0 μB per formula unit

a b c (Å): 6.0193 7.3593 7.4006
angles (deg): 75.02 66.21 66.13
Space group P-1 (No. 2)
One atom of each set of equivalent atoms:
Ac1 0.0008 0.2503 0.2502 x2
Zn1 0.5000 0.0000 0.5000 x1
In1 0.0095 0.7015 0.2844 x2
In2 0.3436 0.9093 0.9081 x2
In3 0.4960 0.3028 0.7108 x2
Pt1 0.5000 0.5000 0.0000 x1

=====

No. 16
Below is a relaxed Zr3AlZn2 crystal, with properties calculated at the PBE-GGA level.

D(E_F): 0.57 states/eV per atom
Distance to the lowest polymorph of the same formula: 22 meV per atom
Calculated formation energy: -297 meV/atom
M_tot: 0.0 μB per formula unit

a b c (Å): 4.9103 14.6636 3.1614
angles (deg): 90.00 90.00 90.00
Space group Cmmm (No. 65)
One atom of each set of equivalent atoms:
Zr1 0.0000 0.0000 0.0000 x2
Zr2 0.0000 0.3311 0.0000 x4
Al1 0.0000 0.5000 0.5000 x2
Zn1 0.0000 0.1671 0.5000 x4

=====

No. 17
Below is a relaxed Tb6Sm2Dy3Mg crystal, with properties calculated at the PBE-GGA level.

D(E_F): 1.35 states/eV per atom
Calculated formation energy: 20 meV/atom
M_tot: 0.0 μB per formula unit

a b c (Å): 6.1331 10.6349 11.7416
angles (deg): 90.00 100.11 90.00
Space group C2/m (No. 12)
One atom of each set of equivalent atoms:
Tb1 0.2491 0.0000 0.2484 x4
Tb2 0.2488 0.1660 0.7505 x8
Sm1 0.0000 0.3335 0.5000 x4
Dy1 0.0000 0.1658 0.0000 x4
Dy2 0.0000 0.5000 0.0000 x2
Mg1 0.0000 0.0000 0.5000 x2

=====

No. 18
Below is a relaxed Be4Nb crystal, with properties calculated at the PBE-GGA level.

D(E_F): 0.07 states/eV per atom
Distance to the lowest polymorph of the same formula: 0 meV per atom
Calculated formation energy: -223 meV/atom
M_tot: 0.0 μB per formula unit

a b c (Å): 3.4258 3.4258 8.5034
angles (deg): 90.00 90.00 90.00
Space group I4/mmm (No. 139)
One atom of each set of equivalent atoms:
Be1 0.0000 0.0000 0.1166 x4
Be2 0.0000 0.5000 0.2500 x4
Nb1 0.0000 0.0000 0.5000 x2

=====

No. 19
Below is a relaxed K2MgHg crystal, with properties calculated at the PBE-GGA level.

D(E_F): 0.56 states/eV per atom
Distance to the lowest polymorph of the same formula: 91 meV per atom
Calculated formation energy: 28 meV/atom
M_tot: 0.0 μB per formula unit

a b c (Å): 4.0098 5.0051 7.8830
angles (deg): 90.00 90.49 90.00
Space group P2/m (No. 10)
One atom of each set of equivalent atoms:
K1 0.0016 0.0000 0.2605 x2
Mg1 0.5000 0.5000 0.0000 x1
Hg1 0.5000 0.5000 0.5000 x1

=====

No. 20
Below is a relaxed Sc2Au2Se crystal, with properties calculated at the PBE-GGA level.

D(E_F): 0.68 states/eV per atom
Formation energy from raw total energies: -4.242 eV per formula unit
Distance to the lowest polymorph of the same formula: 0 meV per atom
M_tot: 0.0 μB per formula unit

a b c (Å): 7.2786 7.2786 4.0040
angles (deg): 90.00 90.00 90.00
Space group P4/mbm (No. 127)
One atom of each set of equivalent atoms:
Sc1 0.1693 0.3307 0.0000 x4
Au1 0.1339 0.6339 0.5000 x4
Se1 0.0000 0.0000 0.0000 x2

=====

No. 21
Below is a relaxed Ti3CrAu crystal, with properties calculated at the PBE-GGA level.

D(E_F): 1.61 states/eV per atom
Distance to the lowest polymorph of the same formula: 0 meV per atom
Calculated formation energy: 441 meV/atom
M_tot: 0.0 μB per formula unit

a b c (Å): 4.4805 4.4805 4.4805
angles (deg): 90.00 90.00 90.00
Space group Pm-3m (No. 221)
One atom of each set of equivalent atoms:
Ti1 0.0000 0.0000 0.5000 x3
Cr1 0.0000 0.0000 0.0000 x1
Au1 0.5000 0.5000 0.5000 x1

=====

No. 22
Below is a relaxed Pm4TlCd2 crystal, with properties calculated at the PBE-GGA level.

D(E_F): 1.40 states/eV per atom
Distance to the lowest polymorph of the same formula: 0 meV per atom
Calculated formation energy: -178 meV/atom
M_tot: 0.1 μB per formula unit

a b c (Å): 5.3717 5.3717 25.7742
angles (deg): 90.00 90.00 120.00
Space group R-3m (No. 166, hexagonal axes)
One atom of each set of equivalent atoms:
Pm1 0.0000 0.0000 0.1164 x6
Pm2 0.0000 0.0000 0.3696 x6
Tl1 0.0000 0.0000 0.5000 x3
Cd1 0.0000 0.0000 0.2458 x6

=====

No. 23
Below is a relaxed BeFe2As crystal, with properties calculated at the PBE-GGA level.

D(E_F): 0.64 states/eV per atom
Distance to the lowest polymorph of the same formula: 327 meV per atom
Calculated formation energy: 210 meV/atom
M_tot: 2.9 μB per formula unit

a b c (Å): 2.7567 2.7567 21.1641
angles (deg): 90.00 90.00 120.00
Space group R-3m (No. 166, hexagonal axes)
One atom of each set of equivalent atoms:
Be1 0.0000 0.0000 0.0000 x3
Fe1 0.0000 0.0000 0.2544 x6
As1 0.0000 0.0000 0.5000 x3

=====

No. 24
Below is a relaxed CaAc4Nd crystal, with properties calculated at the PBE-GGA level.

D(E_F): 1.41 states/eV per atom
Distance to the lowest polymorph of the same formula: 161 meV per atom
Calculated formation energy: 193 meV/atom
M_tot: 0.0 μB per formula unit

a b c (Å): 10.7810 5.3050 9.4846
angles (deg): 90.00 90.00 90.00
Space group Pmma (No. 51)
One atom of each set of equivalent atoms:
Ca1 0.2500 0.0000 0.1457 x2
Ac1 0.0000 0.0000 0.5000 x2
Ac2 0.0283 0.5000 0.8072 x4
Ac3 0.2500 0.5000 0.4790 x2
Nd1 0.2500 0.0000 0.7523 x2

=====

No. 25
Below is a relaxed LiZn2Ag crystal, with properties calculated at the PBE-GGA level.

D(E_F): 0.26 states/eV per atom
Calculated formation energy: -139 meV/atom
M_tot: 0.0 μB per formula unit

a b c (Å): 2.7707 3.9521 5.6310
angles (deg): 90.00 90.00 90.00
Space group Pmm2 (No. 25)
One atom of each set of equivalent atoms:
Li1 0.0000 0.0000 0.0000 x1
Zn1 0.0000 0.0000 0.4886 x1
Zn2 0.5000 0.5000 0.2491 x1
Ag1 0.5000 0.5000 0.7545 x1

=====

No. 26
Below is a relaxed AcNd3Er6 crystal, with properties calculated at the PBE-GGA level.

D(E_F): 1.77 states/eV per atom
Calculated formation energy: 237 meV/atom
M_tot: 0.0 μB per formula unit

a b c (Å): 11.5237 6.5784 9.8993
angles (deg): 90.00 114.35 90.00
Space group C2/m (No. 12)
One atom of each set of equivalent atoms:
Ac1 0.0000 0.0000 0.0000 x2
Nd1 0.0000 0.5000 0.5000 x2
Nd2 0.0695 0.0000 0.6943 x4
Er1 0.1373 0.5000 0.9163 x4
Er2 0.1866 0.2530 0.3159 x8